Material: Ho3PaRh6
Method: DFT, GGA-PBE
State: optimized geometry

```
data_Ho3PaRh6
_cell_length_a 8.642
_cell_length_b 4.479
_cell_length_c 9.853
_cell_angle_alpha 90.00
_cell_angle_beta 101.08
_cell_angle_gamma 90.00
_symmetry_space_group_name_H-M 'P 1'
_symmetry_Int_Tables_number 1
loop_
_symmetry_equiv_pos_as_xyz
'x,y,z'
loop_
_atom_site_label
_atom_site_type_symbol
_atom_site_fract_x
_atom_site_fract_y
_atom_site_fract_z
_atom_site_occupancy
Ho1 Ho 0.047 0.250 0.394 1
Ho2 Ho 0.141 0.750 0.182 1
Ho3 Ho 0.275 0.250 0.965 1
Ho4 Ho 0.725 0.750 0.035 1
Ho5 Ho 0.859 0.250 0.818 1
Ho6 Ho 0.953 0.750 0.606 1
Pa1 Pa 0.440 0.250 0.630 1
Pa2 Pa 0.560 0.750 0.370 1
Rh1 Rh 0.056 0.750 0.895 1
Rh2 Rh 0.143 0.250 0.683 1
Rh3 Rh 0.261 0.750 0.494 1
Rh4 Rh 0.351 0.250 0.303 1
Rh5 Rh 0.357 0.750 0.788 1
Rh6 Rh 0.429 0.750 0.107 1
Rh7 Rh 0.571 0.250 0.893 1
Rh8 Rh 0.643 0.250 0.212 1
Rh9 Rh 0.649 0.750 0.697 1
Rh10 Rh 0.739 0.250 0.506 1
Rh11 Rh 0.857 0.750 0.317 1
Rh12 Rh 0.944 0.250 0.105 1
```

Results
Calculated volume ... 18.714 Å³ per atom
Electronic total energy ... -150.60 eV for the cell shown
Magnetization ... 0.00 Bohr magnetons per cell
Mass density ... 11.9 g/cm3
ΔH_f (0 K) ... -0.796 eV/atom

***

Material: MgTiN2F
Method: DFT, GGA-PBE
State: optimized geometry

```
data_MgTiN2F
_cell_length_a 3.935
_cell_length_b 3.935
_cell_length_c 3.889
_cell_angle_alpha 90.00
_cell_angle_beta 90.00
_cell_angle_gamma 90.00
_symmetry_space_group_name_H-M 'P 1'
_symmetry_Int_Tables_number 1
loop_
_symmetry_equiv_pos_as_xyz
'x,y,z'
loop_
_atom_site_label
_atom_site_type_symbol
_atom_site_fract_x
_atom_site_fract_y
_atom_site_fract_z
_atom_site_occupancy
Mg1 Mg 0.000 0.000 0.000 1
Ti1 Ti 0.500 0.500 0.500 1
N1 N 0.000 0.500 0.500 1
N2 N 0.500 0.000 0.500 1
F1 F 0.500 0.500 0.000 1
```

Results
Calculated volume ... 12.044 Å³ per atom
Electronic total energy ... -33.12 eV for the cell shown
Magnetization ... 0.00 Bohr magnetons per cell
Mass density ... 3.3 g/cm3
E_form (uncorrected) ... -5.1 eV per formula unit

***

Material: BaCaNdNbO6
Method: DFT, GGA-PBE
State: optimized geometry

```
data_BaCaNdNbO6
_cell_length_a 6.110
_cell_length_b 6.110
_cell_length_c 6.110
_cell_angle_alpha 60.00
_cell_angle_beta 60.00
_cell_angle_gamma 60.00
_symmetry_space_group_name_H-M 'P 1'
_symmetry_Int_Tables_number 1
loop_
_symmetry_equiv_pos_as_xyz
'x,y,z'
loop_
_atom_site_label
_atom_site_type_symbol
_atom_site_fract_x
_atom_site_fract_y
_atom_site_fract_z
_atom_site_occupancy
Ba1 Ba 0.000 0.000 0.000 1
Ca1 Ca 0.500 0.500 0.500 1
Nd1 Nd 0.750 0.750 0.750 1
Nb1 Nb 0.250 0.250 0.250 1
O1 O 0.017 0.017 0.483 1
O2 O 0.017 0.483 0.017 1
O3 O 0.017 0.483 0.483 1
O4 O 0.483 0.017 0.017 1
O5 O 0.483 0.017 0.483 1
O6 O 0.483 0.483 0.017 1
```

Results
Calculated volume ... 16.129 Å³ per atom
Electronic total energy ... -76.72 eV for the cell shown
Magnetization ... 0.00 Bohr magnetons per cell
Mass density ... 5.3 g/cm3
E_form (uncorrected) ... -28.2 eV per formula unit

***

Material: La2CuOs
Method: DFT, GGA-PBE
State: optimized geometry

```
data_La2CuOs
_cell_length_a 4.448
_cell_length_b 5.763
_cell_length_c 5.763
_cell_angle_alpha 41.32
_cell_angle_beta 90.00
_cell_angle_gamma 90.00
_symmetry_space_group_name_H-M 'P 1'
_symmetry_Int_Tables_number 1
loop_
_symmetry_equiv_pos_as_xyz
'x,y,z'
loop_
_atom_site_label
_atom_site_type_symbol
_atom_site_fract_x
_atom_site_fract_y
_atom_site_fract_z
_atom_site_occupancy
La1 La 0.000 0.000 0.000 1
La2 La 0.500 0.276 0.276 1
Cu1 Cu 0.000 0.706 0.706 1
Os1 Os 0.500 0.566 0.566 1
```

Results
Calculated volume ... 24.385 Å³ per atom
Electronic total energy ... -25.60 eV for the cell shown
Magnetization ... 0.00 Bohr magnetons per cell
Mass density ... 9.0 g/cm3
ΔH_f (0 K) ... -0.106 eV/atom

***

Material: Pa5Tc3C12
Method: DFT, GGA-PBE
State: optimized geometry

```
data_Pa5Tc3C12
_cell_length_a 11.288
_cell_length_b 11.288
_cell_length_c 11.288
_cell_angle_alpha 109.47
_cell_angle_beta 109.47
_cell_angle_gamma 109.47
_symmetry_space_group_name_H-M 'P 1'
_symmetry_Int_Tables_number 1
loop_
_symmetry_equiv_pos_as_xyz
'x,y,z'
loop_
_atom_site_label
_atom_site_type_symbol
_atom_site_fract_x
_atom_site_fract_y
_atom_site_fract_z
_atom_site_occupancy
Pa1 Pa 0.000 0.000 0.000 1
Pa2 Pa 0.000 0.000 0.500 1
Pa3 Pa 0.000 0.500 0.000 1
Pa4 Pa 0.000 0.500 0.500 1
Pa5 Pa 0.125 0.750 0.875 1
Pa6 Pa 0.125 0.875 0.250 1
Pa7 Pa 0.250 0.125 0.875 1
Pa8 Pa 0.250 0.625 0.375 1
Pa9 Pa 0.375 0.250 0.625 1
Pa10 Pa 0.375 0.625 0.750 1
Pa11 Pa 0.500 0.000 0.000 1
Pa12 Pa 0.500 0.000 0.500 1
Pa13 Pa 0.500 0.500 0.000 1
Pa14 Pa 0.500 0.500 0.500 1
Pa15 Pa 0.625 0.375 0.250 1
Pa16 Pa 0.625 0.750 0.375 1
Pa17 Pa 0.750 0.375 0.625 1
Pa18 Pa 0.750 0.875 0.125 1
Pa19 Pa 0.875 0.125 0.750 1
Pa20 Pa 0.875 0.250 0.125 1
Tc1 Tc 0.125 0.250 0.375 1
Tc2 Tc 0.125 0.375 0.750 1
Tc3 Tc 0.250 0.375 0.125 1
Tc4 Tc 0.250 0.875 0.625 1
Tc5 Tc 0.375 0.125 0.250 1
Tc6 Tc 0.375 0.750 0.125 1
Tc7 Tc 0.625 0.250 0.875 1
Tc8 Tc 0.625 0.875 0.750 1
Tc9 Tc 0.750 0.125 0.375 1
Tc10 Tc 0.750 0.625 0.875 1
Tc11 Tc 0.875 0.625 0.250 1
Tc12 Tc 0.875 0.750 0.625 1
C1 C 0.081 0.685 0.412 1
C2 C 0.081 0.896 0.668 1
C3 C 0.088 0.772 0.668 1
C4 C 0.088 0.815 0.419 1
C5 C 0.104 0.272 0.185 1
C6 C 0.104 0.332 0.919 1
C7 C 0.168 0.272 0.588 1
C8 C 0.168 0.396 0.581 1
C9 C 0.185 0.104 0.272 1
C10 C 0.185 0.581 0.912 1
C11 C 0.228 0.332 0.912 1
C12 C 0.228 0.396 0.315 1
C13 C 0.272 0.185 0.104 1
C14 C 0.272 0.588 0.168 1
C15 C 0.315 0.228 0.396 1
C16 C 0.315 0.588 0.919 1
C17 C 0.332 0.912 0.228 1
C18 C 0.332 0.919 0.104 1
C19 C 0.396 0.315 0.228 1
C20 C 0.396 0.581 0.168 1
C21 C 0.412 0.081 0.685 1
C22 C 0.412 0.832 0.728 1
C23 C 0.419 0.088 0.815 1
C24 C 0.419 0.832 0.604 1
C25 C 0.581 0.168 0.396 1
C26 C 0.581 0.912 0.185 1
C27 C 0.588 0.168 0.272 1
C28 C 0.588 0.919 0.315 1
C29 C 0.604 0.419 0.832 1
C30 C 0.604 0.685 0.772 1
C31 C 0.668 0.081 0.896 1
C32 C 0.668 0.088 0.772 1
C33 C 0.685 0.412 0.081 1
C34 C 0.685 0.772 0.604 1
C35 C 0.728 0.412 0.832 1
C36 C 0.728 0.815 0.896 1
C37 C 0.772 0.604 0.685 1
C38 C 0.772 0.668 0.088 1
C39 C 0.815 0.419 0.088 1
C40 C 0.815 0.896 0.728 1
C41 C 0.832 0.604 0.419 1
C42 C 0.832 0.728 0.412 1
C43 C 0.896 0.668 0.081 1
C44 C 0.896 0.728 0.815 1
C45 C 0.912 0.185 0.581 1
C46 C 0.912 0.228 0.332 1
C47 C 0.919 0.104 0.332 1
C48 C 0.919 0.315 0.588 1
```

Results
Calculated volume ... 13.840 Å³ per atom
Electronic total energy ... -715.83 eV for the cell shown
Magnetization ... 0.00 Bohr magnetons per cell
Mass density ... 9.6 g/cm3
ΔH_f (0 K) ... 0.515 eV/atom

***

Material: TaHgB2Mo
Method: DFT, GGA-PBE
State: optimized geometry

```
data_TaHgB2Mo
_cell_length_a 4.270
_cell_length_b 4.270
_cell_length_c 5.206
_cell_angle_alpha 90.00
_cell_angle_beta 90.00
_cell_angle_gamma 90.00
_symmetry_space_group_name_H-M 'P 1'
_symmetry_Int_Tables_number 1
loop_
_symmetry_equiv_pos_as_xyz
'x,y,z'
loop_
_atom_site_label
_atom_site_type_symbol
_atom_site_fract_x
_atom_site_fract_y
_atom_site_fract_z
_atom_site_occupancy
Ta1 Ta 0.000 0.000 0.000 1
Hg1 Hg 0.000 0.000 0.500 1
B1 B 0.000 0.500 0.000 1
B2 B 0.500 0.000 0.000 1
Mo1 Mo 0.500 0.500 0.500 1
```

Results
Calculated volume ... 18.989 Å³ per atom
Electronic total energy ... -27.54 eV for the cell shown
Magnetization ... 2.86 Bohr magnetons per cell
Mass density ... 8.7 g/cm3
ΔH_f (0 K) ... 1.760 eV/atom

***

Material: LaPr2Sn2Hg2
Method: DFT, GGA-PBE
State: optimized geometry

```
data_LaPr2Sn2Hg2
_cell_length_a 9.889
_cell_length_b 9.889
_cell_length_c 9.889
_cell_angle_alpha 29.54
_cell_angle_beta 29.54
_cell_angle_gamma 29.54
_symmetry_space_group_name_H-M 'P 1'
_symmetry_Int_Tables_number 1
loop_
_symmetry_equiv_pos_as_xyz
'x,y,z'
loop_
_atom_site_label
_atom_site_type_symbol
_atom_site_fract_x
_atom_site_fract_y
_atom_site_fract_z
_atom_site_occupancy
La1 La 0.000 0.000 0.000 1
Pr1 Pr 0.131 0.131 0.131 1
Pr2 Pr 0.869 0.869 0.869 1
Sn1 Sn 0.270 0.270 0.270 1
Sn2 Sn 0.730 0.730 0.730 1
Hg1 Hg 0.426 0.426 0.426 1
Hg2 Hg 0.574 0.574 0.574 1
```

Results
Calculated volume ... 29.728 Å³ per atom
Electronic total energy ... -25.91 eV for the cell shown
Magnetization ... 0.00 Bohr magnetons per cell
Mass density ... 8.5 g/cm3
ΔH_f (0 K) ... -0.403 eV/atom

***

Material: LiMnRh4
Method: DFT, GGA-PBE
State: optimized geometry

```
data_LiMnRh4
_cell_length_a 5.112
_cell_length_b 5.112
_cell_length_c 5.112
_cell_angle_alpha 60.00
_cell_angle_beta 60.00
_cell_angle_gamma 60.00
_symmetry_space_group_name_H-M 'P 1'
_symmetry_Int_Tables_number 1
loop_
_symmetry_equiv_pos_as_xyz
'x,y,z'
loop_
_atom_site_label
_atom_site_type_symbol
_atom_site_fract_x
_atom_site_fract_y
_atom_site_fract_z
_atom_site_occupancy
Li1 Li 0.000 0.000 0.000 1
Mn1 Mn 0.750 0.750 0.750 1
Rh1 Rh 0.375 0.375 0.375 1
Rh2 Rh 0.375 0.375 0.875 1
Rh3 Rh 0.375 0.875 0.375 1
Rh4 Rh 0.875 0.375 0.375 1
```

Results
Calculated volume ... 15.748 Å³ per atom
Electronic total energy ... -39.67 eV for the cell shown
Magnetization ... 3.49 Bohr magnetons per cell
Mass density ... 8.3 g/cm3
ΔH_f (0 K) ... 0.136 eV/atom

***

Material: CrNi
Method: DFT, GGA-PBE
State: optimized geometry

```
data_CrNi
_cell_length_a 4.795
_cell_length_b 4.795
_cell_length_c 4.464
_cell_angle_alpha 117.30
_cell_angle_beta 117.30
_cell_angle_gamma 29.59
_symmetry_space_group_name_H-M 'P 1'
_symmetry_Int_Tables_number 1
loop_
_symmetry_equiv_pos_as_xyz
'x,y,z'
loop_
_atom_site_label
_atom_site_type_symbol
_atom_site_fract_x
_atom_site_fract_y
_atom_site_fract_z
_atom_site_occupancy
Cr1 Cr 0.122 0.122 0.465 1
Cr2 Cr 0.878 0.878 0.535 1
Ni1 Ni 0.376 0.376 0.041 1
Ni2 Ni 0.624 0.624 0.959 1
```

Results
Calculated volume ... 11.152 Å³ per atom
Electronic total energy ... -30.51 eV for the cell shown
Magnetization ... 0.00 Bohr magnetons per cell
Mass density ... 8.2 g/cm3
ΔH_f (0 K) ... 0.074 eV/atom

***

Q: Which of these has the highest electronic total energy?
A: La2CuOs

***

Q: What is the formula in the fifth record?
A: Pa5Tc3C12

***

Q: Which value of calculated volume does entry 7 give?
A: 29.728 Å³ per atom